CsBaIr2C (PBE, relaxed); size of the total moment = 0.00 μB per atom; formation energy from the elements = 692.8 meV per atom; symmetry = P4/mmm, No. 123
1.0
4.283 0.000 0.000
0.000 5.699 0.000
0.000 0.000 4.283
Ir Cs C Ba
2 1 1 1
Cartesian
2.141 0.000 0.000
0.000 0.000 2.141
2.141 2.849 2.141
0.000 0.000 0.000
0.000 2.849 0.000



PmHgSe2 (PBE, relaxed); size of the total moment = 0.00 μB per atom; ΔE_f (raw) = -1.046 eV/atom; symmetry = R-3m, No. 166
1.0
-2.399 -1.807 -3.092
-0.385 -4.288 -0.199
-7.858 -1.648 4.056
Hg Pm Se
1 1 2
Cartesian
0.000 0.000 0.000
-5.321 -3.872 0.383
-4.982 -5.974 -1.657
-5.660 -1.770 2.422



BaMoW2 (PBE, relaxed); size of the total moment = 0.00 μB per atom; formation energy from the elements = 1374.2 meV per atom; polymorph energy (0 for the lowest one) = 50.8 kJ/mol of atoms; symmetry = Imm2, No. 44
1.0
6.073 -0.009 0.000
2.718 5.431 0.000
-3.449 -4.245 2.639
W Ba Mo
2 1 1
Cartesian
0.004 0.002 0.000
3.879 -0.544 1.319
4.384 2.704 0.000
1.471 1.725 1.319